No. 1
DFT (GGA-PBE) results for crystalline Nb2AlB6 at its relaxed geometry.

- DFT formation energy (eV/atom) = -0.45
- E above lowest polymorph (eV per atom) = 0.028
- E (eV/atom) = -7.5548

Lattice parameters (Å, degrees): 3.3449 5.3126 5.3126 120.00 90.00 90.00
With the nearest neighbours (Å) after each atom.
Fractional positions:
Nb (0.0000, 0.6667, 0.3333)  12 B 2.44
Nb (0.0000, 0.3333, 0.6667)  12 B 2.44
B (0.5000, 0.6710, 0.0000)  3 B 1.75-1.82
B (0.5000, 0.0000, 0.3290)  3 B 1.75-1.82
B (0.5000, 0.3290, 0.3290)  3 B 1.75-1.82
B (0.5000, 0.0000, 0.6710)  3 B 1.75-1.82
B (0.5000, 0.6710, 0.6710)  3 B 1.75-1.82
B (0.5000, 0.3290, 0.0000)  3 B 1.75-1.82
Al (0.0000, 0.0000, 0.0000)  12 B 2.42

No. 2
DFT (GGA-PBE) results for crystalline ZrMoAu2 at its relaxed geometry.

- DFT formation energy (eV/atom) = -0.10
- E above lowest polymorph (eV per atom) = 0.033
- E (eV/atom) = -6.5840

Lattice parameters (Å, degrees): 3.4915 3.4915 6.0442 90.00 90.00 90.00
With the nearest neighbours (Å) after each atom.
Fractional positions:
Mo (0.0000, 0.0000, 0.4855)  6 Au 2.82-3.13, 4 Zr 2.94
Au (0.5000, 0.5000, 0.2608)  4 Mo 2.82, 4 Au 2.92, 2 Zr 2.95-3.09
Au (0.0000, 0.0000, 0.0042)  4 Zr 2.91, 2 Mo 2.91-3.13, 4 Au 2.92
Zr (0.5000, 0.5000, 0.7495)  6 Au 2.91-3.09, 4 Mo 2.94

No. 3
DFT (GGA-PBE) results for crystalline CaMn2FeN4 at its relaxed geometry.

- raw formation energy (kJ per mole of atoms) = -24.4
- E (eV/atom) = -8.0163

Lattice parameters (Å, degrees): 3.0714 5.4590 10.3076 90.00 90.00 106.34
With the nearest neighbours (Å) after each atom.
Fractional positions:
N (0.2595, 0.5191, 0.3928)  1 Fe 1.79, 1 Mn 1.96
N (0.0000, 0.0000, 0.5000)  4 Mn 2.12
N (0.4335, 0.8671, 0.7500)  2 Fe 1.83
N (0.7405, 0.4809, 0.8928)  1 Fe 1.79, 1 Mn 1.96
N (0.0000, 0.0000, 0.0000)  4 Mn 2.12
N (0.2595, 0.5191, 0.1072)  1 Fe 1.79, 1 Mn 1.96
N (0.5665, 0.1329, 0.2500)  2 Fe 1.83
N (0.7405, 0.4809, 0.6072)  1 Fe 1.79, 1 Mn 1.96
Mn (0.6316, 0.2632, 0.4529)  5 N 1.96-2.13
Mn (0.6316, 0.2632, 0.0471)  5 N 1.96-2.13
Mn (0.3684, 0.7368, 0.9529)  5 N 1.96-2.13
Mn (0.3684, 0.7368, 0.5471)  5 N 1.96-2.13
Fe (0.1616, 0.3231, 0.2500)  4 N 1.79-1.83
Fe (0.8384, 0.6769, 0.7500)  4 N 1.79-1.83
Ca (0.8953, 0.7906, 0.2500)  6 N 2.36-2.56
Ca (0.1047, 0.2094, 0.7500)  6 N 2.36-2.56

No. 4
DFT (GGA-PBE) results for crystalline Pa2InF11 at its relaxed geometry.

- raw formation energy (kJ per mole of atoms) = -340.0
- E (eV/atom) = -6.5465

Lattice parameters (Å, degrees): 8.6303 9.3433 9.3433 72.22 62.49 62.49
With the nearest neighbours (Å) after each atom.
Fractional positions:
Pa (0.3615, 0.3197, 0.6803)  6 F 2.09-2.32
Pa (0.8615, 0.1803, 0.8197)  6 F 2.09-2.32
Pa (0.1385, 0.8197, 0.1803)  6 F 2.09-2.32
Pa (0.6385, 0.6803, 0.3197)  6 F 2.09-2.32
F (0.8731, 0.9580, 0.8014)  1 Pa 2.09
F (0.7819, 0.4270, 0.8257)  1 Pa 2.09
F (0.8632, 0.7823, 0.2177)  2 Pa 2.24-2.41
F (0.1269, 0.0420, 0.1986)  1 Pa 2.09
F (0.5346, 0.0730, 0.6743)  1 Pa 2.09
F (0.1368, 0.2177, 0.7823)  2 Pa 2.24-2.41
F (0.3731, 0.3014, 0.4580)  1 Pa 2.09
F (0.6324, 0.1986, 0.0420)  1 Pa 2.09
F (0.5000, 0.5000, 0.5000)  2 Pa 2.32
F (0.6269, 0.6986, 0.5420)  1 Pa 2.09
F (0.1324, 0.5420, 0.6986)  1 Pa 2.09
F (0.9654, 0.8257, 0.4270)  1 Pa 2.09
F (0.0000, 0.0000, 0.0000)  2 Pa 2.32
F (0.2819, 0.3257, 0.9270)  1 Pa 2.09
F (0.0346, 0.1743, 0.5730)  1 Pa 2.09
F (0.7181, 0.6743, 0.0730)  1 Pa 2.09
F (0.2181, 0.5730, 0.1743)  1 Pa 2.09
F (0.3632, 0.7177, 0.2823)  2 Pa 2.24-2.41
F (0.8676, 0.4580, 0.3014)  1 Pa 2.09
F (0.4654, 0.9270, 0.3257)  1 Pa 2.09
F (0.3676, 0.8014, 0.9580)  1 Pa 2.09
F (0.6368, 0.2823, 0.7177)  2 Pa 2.24-2.41
In (0.7500, 0.7500, 0.7500)  8 F 2.79-2.84
In (0.2500, 0.2500, 0.2500)  8 F 2.79-2.84